(1)
First-principles (PBE) data for Nd3Dy2Tm3 after structural relaxation, as listed in Alexandria. Values from VASP.

Geometry as Quantum ESPRESSO input:
```
&SYSTEM
  ibrav = 0, nat = 8, ntyp = 3
/
ATOMIC_SPECIES
Tm 168.93 Tm.upf
Nd 144.24 Nd.upf
Dy 162.50 Dy.upf
ATOMIC_POSITIONS crystal
Tm 0.874 0.874 0.748
Tm 0.126 0.126 0.252
Tm 0.000 0.500 0.000
Nd 0.500 0.000 0.000
Nd 0.375 0.375 0.751
Nd 0.625 0.625 0.249
Dy 0.251 0.751 0.502
Dy 0.749 0.249 0.498
CELL_PARAMETERS angstrom
-4.490 1.322 -1.847
-2.197 -1.378 4.353
4.618 9.404 2.357
```

Results
- Magnetization: 0.000 μB per atom
- DFT total energy: -4.5921 eV per atom

=====

(2)
First-principles (PBE) data for NdDy6Tm3 after structural relaxation, as listed in Alexandria. Values from VASP.

Geometry as Quantum ESPRESSO input:
```
&SYSTEM
  ibrav = 0, nat = 20, ntyp = 3
/
ATOMIC_SPECIES
Dy 162.50 Dy.upf
Tm 168.93 Tm.upf
Nd 144.24 Nd.upf
ATOMIC_POSITIONS crystal
Dy 0.074 0.738 0.621
Dy 0.574 0.621 0.738
Dy 0.288 0.698 0.302
Dy 0.330 0.105 0.543
Dy 0.074 0.379 0.262
Dy 0.830 0.543 0.105
Dy 0.330 0.457 0.895
Dy 0.830 0.895 0.457
Dy 0.574 0.262 0.379
Dy 0.788 0.302 0.698
Dy 0.310 0.985 0.015
Dy 0.810 0.015 0.985
Tm 0.986 0.044 0.296
Tm 0.486 0.296 0.044
Tm 0.486 0.956 0.704
Tm 0.599 0.582 0.418
Tm 0.099 0.418 0.582
Tm 0.986 0.704 0.956
Nd 0.009 0.162 0.838
Nd 0.509 0.838 0.162
CELL_PARAMETERS angstrom
6.358 0.000 0.000
0.000 9.983 -5.648
0.000 -2.192 11.259
```

Results
- Magnetization: 0.000 μB per atom
- DFT total energy: -4.4540 eV per atom

=====

How do the records compare in D(E_F)? In the order shown, they have 1.524; 1.416 states/eV/atom.
How do the records compare in E_form? In the order shown, they have 0.023; 0.125 eV per atom.